No. 1
First-principles (PBE) data for an optimized crystal structure of LaHg5, as listed in Alexandria via LeMat-Bulk.

Cell lengths 4.546, 5.666, 7.058 Å; angles 73.55, 90.00, 113.65 degrees
Atoms (fractional coordinates):
Hg (0.695, 0.389, 0.611)
Hg (0.032, 0.063, 0.922)
Hg (0.024, 0.047, 0.440)
Hg (0.357, 0.714, 0.300)
Hg (0.365, 0.731, 0.782)
La (0.694, 0.389, 0.111)

## Properties
As for the calculated total energy: -1.35 eV/atom. For the density of states at the Fermi level, the calculation gives 0.35 states/eV/atom. For the total moment, the calculation gives 0.000 μB per atom. Its space group is No. 12. Its crystal system is monoclinic.



No. 2
First-principles (PBE) data for an optimized crystal structure of CsCa3Si, as listed in Alexandria via LeMat-Bulk.

Cell lengths 5.695, 5.695, 5.695 Å; angles 90.00, 90.00, 90.00 degrees
Atoms (fractional coordinates):
Ca (0.000, 0.000, 0.500)
Ca (0.500, 0.000, 0.000)
Ca (0.000, 0.500, 0.000)
Si (0.500, 0.500, 0.500)
Cs (0.000, 0.000, 0.000)

## Properties
As for the calculated total energy: -1.09 eV/atom. For the density of states at the Fermi level, the calculation gives 1.55 states/eV/atom. The calculation puts the uncorrected formation energy at 1362 meV/atom. For the total moment, the calculation gives 0.000 μB per atom. Its space group is No. 221. Its crystal system is cubic. For the energy relative to the lowest polymorph listed for this composition, the calculation gives 1378 meV per atom.



No. 3
First-principles (PBE) data for an optimized crystal structure of CePaTe3, as listed in Alexandria via LeMat-Bulk.

Cell lengths 4.400, 8.428, 11.715 Å; angles 61.74, 90.02, 74.70 degrees
Each line ends with the local moment (μB).
Atoms (fractional coordinates):
Ce (0.030, 0.327, 0.538)  1.01
Ce (0.786, 0.821, 0.845)  1.01
Te (0.254, 0.882, 0.635)  -0.04
Te (0.526, 0.334, 0.342)  -0.04
Te (0.804, 0.785, 0.356)  -0.04
Te (0.290, 0.814, 0.041)  -0.04
Te (0.012, 0.363, 0.027)  -0.04
Te (0.562, 0.265, 0.748)  -0.04
Pa (0.659, 0.073, 0.057)  1.38
Pa (0.157, 0.075, 0.327)  1.38

## Properties
As for the calculated total energy: -5.95 eV/atom. For the density of states at the Fermi level, the calculation gives 2.02 states/eV/atom. The calculation puts the uncorrected formation energy at -982 meV/atom. For the total moment, the calculation gives 0.574 μB per atom. Its space group is No. 2. Its crystal system is triclinic. For the energy relative to the lowest polymorph listed for this composition, the calculation gives 0 meV per atom.



No. 4
First-principles (PBE) data for an optimized crystal structure of TlRuPb4, as listed in Alexandria via LeMat-Bulk.

Cell lengths 6.350, 6.350, 6.350 Å; angles 60.00, 60.00, 60.00 degrees
Each line ends with the local moment (μB).
Atoms (fractional coordinates):
Pb (0.376, 0.873, 0.376)  -0.01
Pb (0.376, 0.376, 0.873)  -0.01
Pb (0.376, 0.376, 0.376)  -0.01
Pb (0.873, 0.376, 0.376)  -0.01
Tl (0.000, 0.000, 0.000)  0.00
Ru (0.750, 0.750, 0.750)  1.90

## Properties
As for the calculated total energy: -3.67 eV/atom. For the density of states at the Fermi level, the calculation gives 1.19 states/eV/atom. For the total moment, the calculation gives 0.318 μB per atom. Its space group is No. 216. Its crystal system is cubic.



No. 5
First-principles (PBE) data for an optimized crystal structure of ErTm2ScIn2, as listed in Alexandria via LeMat-Bulk.

Cell lengths 5.245, 6.606, 9.073 Å; angles 90.00, 90.00, 90.00 degrees
Atoms (fractional coordinates):
In (0.000, 0.758, 0.174)
In (0.500, 0.257, 0.340)
In (0.000, 0.258, 0.826)
In (0.500, 0.757, 0.660)
Tm (0.500, 0.008, 0.001)
Tm (0.500, 0.508, 0.999)
Tm (0.000, 0.259, 0.164)
Tm (0.000, 0.759, 0.836)
Sc (0.500, 0.756, 0.331)
Sc (0.500, 0.256, 0.669)
Er (0.000, 0.007, 0.499)
Er (0.000, 0.507, 0.501)

## Properties
As for the calculated total energy: -4.57 eV/atom. For the density of states at the Fermi level, the calculation gives 1.11 states/eV/atom. For the total moment, the calculation gives 0.001 μB per atom. Its space group is No. 26. Its crystal system is orthorhombic.



No. 6
First-principles (PBE) data for an optimized crystal structure of HfPd3Au2, as listed in Alexandria via LeMat-Bulk.

Cell lengths 2.970, 8.331, 9.407 Å; angles 111.34, 99.08, 90.00 degrees
Atoms (fractional coordinates):
Hf (0.670, 0.026, 0.340)
Hf (0.330, 0.974, 0.660)
Au (0.937, 0.851, 0.873)
Au (0.308, 0.623, 0.615)
Au (0.063, 0.149, 0.127)
Au (0.692, 0.377, 0.385)
Pd (0.562, 0.454, 0.124)
Pd (0.927, 0.240, 0.855)
Pd (0.073, 0.760, 0.145)
Pd (0.704, 0.746, 0.409)
Pd (0.438, 0.546, 0.876)
Pd (0.296, 0.254, 0.591)

## Properties
As for the calculated total energy: -5.59 eV/atom. For the density of states at the Fermi level, the calculation gives 0.60 states/eV/atom. For the total moment, the calculation gives 0.000 μB per atom. Its space group is No. 12. Its crystal system is monoclinic. For the energy relative to the lowest polymorph listed for this composition, the calculation gives 216 meV per atom.



No. 7
First-principles (PBE) data for an optimized crystal structure of Rb2CdTc, as listed in Alexandria via LeMat-Bulk.

Cell lengths 13.140, 13.140, 9.671 Å; angles 47.21, 47.21, 90.00 degrees
Each line ends with the local moment (μB).
Atoms (fractional coordinates):
Cd (0.750, 0.250, 0.500)  -0.02
Cd (0.000, 0.000, 0.000)  -0.02
Rb (0.302, 0.625, 0.250)  0.01
Rb (0.375, 0.552, 0.750)  0.00
Rb (0.448, 0.125, 0.250)  0.01
Rb (0.875, 0.698, 0.750)  0.00
Tc (0.250, 0.750, 0.500)  2.67
Tc (0.500, 0.500, 0.000)  2.67

## Properties
As for the calculated total energy: -2.24 eV/atom. For the density of states at the Fermi level, the calculation gives 0.92 states/eV/atom. For the total moment, the calculation gives 0.742 μB per atom. Its space group is No. 122. Its crystal system is tetragonal.



No. 8
First-principles (PBE) data for an optimized crystal structure of U4SiSb, as listed in Alexandria via LeMat-Bulk.

Cell lengths 4.530, 5.859, 5.859 Å; angles 101.29, 67.26, 67.26 degrees
Each line ends with the local moment (μB).
Atoms (fractional coordinates):
U (0.238, 0.084, 0.440)  0.09
U (0.762, 0.560, 0.916)  0.09
U (0.238, 0.440, 0.084)  0.09
U (0.762, 0.916, 0.560)  0.09
Sb (0.000, 0.000, 0.000)  0.00
Si (0.500, 0.500, 0.500)  0.00

## Properties
As for the calculated total energy: -9.07 eV/atom. For the density of states at the Fermi level, the calculation gives 2.46 states/eV/atom. The calculation puts the uncorrected formation energy at 48 meV/atom. For the total moment, the calculation gives 0.061 μB per atom. Its space group is No. 71. Its crystal system is orthorhombic.